Material: KRb2MoO4
Method: DFT, GGA+U
State: optimized geometry

Values from the calculation:
The value obtained for the total DFT energy (no corrections) is -5.416 eV per atom. For the calculated density, the calculation gives 3.381 g cm⁻³. The value obtained for the volume is 182 Å³/cell. As for the size of the total moment: 1.00 μB/f.u.

abc: 6.310 6.310 6.310
angles: 92.79 118.41 118.41
Atoms (fractional coordinates):
O 0.362 0.792 0.772
O 0.981 0.571 0.208
O 0.019 0.228 0.590
O 0.638 0.410 0.429
Mo 0.000 0.500 0.500
K 0.500 0.250 0.750
Rb 0.000 0.000 0.000
Rb 0.500 0.750 0.250